# GGA-PBE Mg2SiSb, optimized geometry
data_Mg2SiSb
_chemical_formula_sum 'Mg2 Si1 Sb1'
_symmetry_space_group_name_H-M 'P 1 m 1'
_symmetry_Int_Tables_number 6
_cell_length_a 3.126
_cell_length_b 4.364
_cell_length_c 6.642
_cell_angle_alpha 90.00
_cell_angle_beta 103.21
_cell_angle_gamma 90.00
loop_
_symmetry_equiv_pos_as_xyz
'x,y,z'
'x,-y,z'
loop_
_atom_site_label
_atom_site_type_symbol
_atom_site_fract_x
_atom_site_fract_y
_atom_site_fract_z
Mg1 Mg 0.000 0.000 0.000
Mg2 Mg 0.362 0.500 0.704
Si1 Si 0.796 0.000 0.570
Sb1 Sb 0.616 0.500 0.227
# * formation energy from raw total energies: 0.05 eV/atom